No. 1
The following is a GGA-PBE calculation of a geometry-optimized ScCoGe2Br structure, from the Alexandria database.

The calculation puts the total moment at 0.931 μB per cell. The calculation puts the density of states at the Fermi level at 6.20 states/eV/f.u. For the raw formation energy, the calculation gives 0.80 eV/atom.

It has space group P4/mmm (No. 123), with a = 5.2012 Å, b = 5.2012 Å, c = 4.2384 Å, α = 90.00°, β = 90.00° and γ = 90.00°. Symmetry generates all atoms from Sc at (0.0000, 0.0000, 0.0000), Co at (0.5000, 0.5000, 0.0000), Ge at (0.0000, 0.5000, 0.5000) and Br at (0.5000, 0.5000, 0.5000).

=====

No. 2
The following is a GGA-PBE calculation of a geometry-optimized CoGeSeBr2 structure, from the Alexandria database.

The calculation puts the total moment at 1.071 μB per cell. The calculation puts the density of states at the Fermi level at 5.83 states/eV/f.u. For the raw formation energy, the calculation gives 0.22 eV/atom.

It has space group P4/mmm (No. 123), with a = 4.8410 Å, b = 4.8410 Å, c = 4.8323 Å, α = 90.00°, β = 90.00° and γ = 90.00°. Symmetry generates all atoms from Co at (0.0000, 0.0000, 0.0000), Ge at (0.5000, 0.5000, 0.5000), Se at (0.0000, 0.0000, 0.5000) and Br at (0.0000, 0.5000, 0.0000).

=====

No. 3
The following is a GGA-PBE calculation of a geometry-optimized CoGeSe2Br structure, from the Alexandria database.

The calculation puts the total moment at 1.188 μB per cell. The calculation puts the density of states at the Fermi level at 5.23 states/eV/f.u. For the raw formation energy, the calculation gives 0.28 eV/atom.

It has space group P4/mmm (No. 123), with a = 4.6917 Å, b = 4.6917 Å, c = 4.9528 Å, α = 90.00°, β = 90.00° and γ = 90.00°. Symmetry generates all atoms from Co at (0.0000, 0.0000, 0.0000), Ge at (0.5000, 0.5000, 0.5000), Se at (0.0000, 0.5000, 0.0000) and Br at (0.0000, 0.0000, 0.5000).

=====

No. 4
The following is a GGA-PBE calculation of a geometry-optimized CoGeSeBr2 structure, from the Alexandria database.

The calculation puts the total moment at 2.509 μB per cell. The calculation puts the density of states at the Fermi level at 5.50 states/eV/f.u. For the raw formation energy, the calculation gives 0.60 eV/atom.

It has space group P4/mmm (No. 123), with a = 5.2021 Å, b = 5.2021 Å, c = 5.1709 Å, α = 90.00°, β = 90.00° and γ = 90.00°. Symmetry generates all atoms from Co at (0.0000, 0.0000, 0.0000), Ge at (0.5000, 0.5000, 0.5000), Se at (0.5000, 0.5000, 0.0000) and Br at (0.0000, 0.5000, 0.5000).

=====

No. 5
The following is a GGA-PBE calculation of a geometry-optimized CoGeSe2Br structure, from the Alexandria database.

The calculation puts the total moment at 2.704 μB per cell. The calculation puts the density of states at the Fermi level at 5.69 states/eV/f.u. For the raw formation energy, the calculation gives 0.74 eV/atom.

It has space group P4/mmm (No. 123), with a = 5.0189 Å, b = 5.0189 Å, c = 5.1682 Å, α = 90.00°, β = 90.00° and γ = 90.00°. Symmetry generates all atoms from Co at (0.0000, 0.0000, 0.0000), Ge at (0.5000, 0.5000, 0.5000), Se at (0.0000, 0.5000, 0.5000) and Br at (0.5000, 0.5000, 0.0000).

=====

No. 6
The following is a GGA-PBE calculation of a geometry-optimized CoSn2GeBr structure, from the Alexandria database.

The calculation puts the total moment at 0.000 μB per cell. The calculation puts the density of states at the Fermi level at 3.48 states/eV/f.u. For the raw formation energy, the calculation gives -0.07 eV/atom.

It has space group P4/mmm (No. 123), with a = 5.0999 Å, b = 5.0999 Å, c = 4.4815 Å, α = 90.00°, β = 90.00° and γ = 90.00°. Symmetry generates all atoms from Co at (0.0000, 0.0000, 0.0000), Sn at (0.0000, 0.5000, 0.0000), Ge at (0.0000, 0.0000, 0.5000) and Br at (0.5000, 0.5000, 0.5000).

=====

No. 7
The following is a GGA-PBE calculation of a geometry-optimized SrCoGeBr2 structure, from the Alexandria database.

The calculation puts the total moment at 1.057 μB per cell. The calculation puts the density of states at the Fermi level at 1.26 states/eV/f.u. For the raw formation energy, the calculation gives -0.26 eV/atom.

It has space group P4/mmm (No. 123), with a = 5.6226 Å, b = 5.6226 Å, c = 4.5528 Å, α = 90.00°, β = 90.00° and γ = 90.00°. Symmetry generates all atoms from Sr at (0.0000, 0.0000, 0.0000), Co at (0.5000, 0.5000, 0.0000), Ge at (0.5000, 0.5000, 0.5000) and Br at (0.0000, 0.5000, 0.5000).

=====

No. 8
The following is a GGA-PBE calculation of a geometry-optimized TaCoGe2Br structure, from the Alexandria database.

The calculation puts the total moment at 0.000 μB per cell. The calculation puts the density of states at the Fermi level at 7.17 states/eV/f.u. For the raw formation energy, the calculation gives 0.97 eV/atom.

It has space group P4/mmm (No. 123), with a = 4.4576 Å, b = 4.4576 Å, c = 4.8592 Å, α = 90.00°, β = 90.00° and γ = 90.00°. Symmetry generates all atoms from Ta at (0.0000, 0.0000, 0.0000), Co at (0.5000, 0.5000, 0.5000), Ge at (0.0000, 0.5000, 0.5000) and Br at (0.5000, 0.5000, 0.0000).

=====

No. 9
The following is a GGA-PBE calculation of a geometry-optimized CoGe2WBr structure, from the Alexandria database.

The calculation puts the total moment at 1.834 μB per cell. The calculation puts the density of states at the Fermi level at 4.13 states/eV/f.u. For the raw formation energy, the calculation gives 0.89 eV/atom.

It has space group P4/mmm (No. 123), with a = 5.0192 Å, b = 5.0192 Å, c = 4.6445 Å, α = 90.00°, β = 90.00° and γ = 90.00°. Symmetry generates all atoms from Co at (0.0000, 0.0000, 0.0000), Ge at (0.0000, 0.5000, 0.5000), W at (0.0000, 0.0000, 0.5000) and Br at (0.5000, 0.5000, 0.0000).

=====

No. 10
The following is a GGA-PBE calculation of a geometry-optimized ZnCoGeBr2 structure, from the Alexandria database.

The calculation puts the total moment at 1.269 μB per cell. The calculation puts the density of states at the Fermi level at 5.93 states/eV/f.u. For the raw formation energy, the calculation gives 0.74 eV/atom.

It has space group P4/mmm (No. 123), with a = 5.0853 Å, b = 5.0853 Å, c = 4.8706 Å, α = 90.00°, β = 90.00° and γ = 90.00°. Symmetry generates all atoms from Zn at (0.0000, 0.0000, 0.0000), Co at (0.0000, 0.0000, 0.5000), Ge at (0.5000, 0.5000, 0.5000) and Br at (0.0000, 0.5000, 0.0000).

=====

No. 11
The following is a GGA-PBE calculation of a geometry-optimized CoHBr3 structure, from the Alexandria database.

The calculation puts the total moment at 3.121 μB per cell. The calculation puts the density of states at the Fermi level at 5.39 states/eV/f.u. The calculated total energy comes out at -10.82 eV per cell.

It has space group Pm-3m (No. 221), with a = 4.6780 Å, b = 4.6780 Å, c = 4.6780 Å, α = 90.00°, β = 90.00° and γ = 90.00°. Symmetry generates all atoms from Co at (0.0000, 0.0000, 0.0000), H at (0.5000, 0.5000, 0.5000) and Br at (0.0000, 0.5000, 0.5000).

=====

No. 12
The following is a GGA-PBE calculation of a geometry-optimized Co2HBr structure, from the Alexandria database.

The calculation puts the total moment at 16.000 μB per cell. The calculation puts the density of states at the Fermi level at 5.55 states/eV/f.u. The calculated total energy comes out at -71.31 eV per cell.

It has space group I-42d (No. 122), with a = 4.6181 Å, b = 4.6181 Å, c = 9.7318 Å, α = 90.00°, β = 90.00° and γ = 90.00°. Symmetry generates all atoms from Co at (0.1075, 0.2500, 0.1250), H at (0.0000, 0.0000, 0.0000) and Br at (0.0000, 0.0000, 0.5000).

=====

- total moment of number 7 (SrCoGeBr2)?
  1.057 μB per cell

=====

Please write out number 12 again, unchanged.
The following is a GGA-PBE calculation of a geometry-optimized Co2HBr structure, from the Alexandria database.

The calculation puts the total moment at 16.000 μB per cell. The calculation puts the density of states at the Fermi level at 5.55 states/eV/f.u. The calculated total energy comes out at -71.31 eV per cell.

It has space group I-42d (No. 122), with a = 4.6181 Å, b = 4.6181 Å, c = 9.7318 Å, α = 90.00°, β = 90.00° and γ = 90.00°. Symmetry generates all atoms from Co at (0.1075, 0.2500, 0.1250), H at (0.0000, 0.0000, 0.0000) and Br at (0.0000, 0.0000, 0.5000).

=====

- Which of these has the highest total moment?
  Co2HBr